(1)
Compound: Ce3PuZr3N8
Source: the Alexandria database
Functional: GGA-PBE
Structure: relaxed Values from VASP.

Structure (Quantum ESPRESSO input):
```
&SYSTEM
  ibrav = 0, nat = 15, ntyp = 4
/
ATOMIC_SPECIES
N 14.01 N.upf
Zr 91.22 Zr.upf
Ce 140.12 Ce.upf
Pu 244.00 Pu.upf
ATOMIC_POSITIONS crystal
N 0.2331 0.9819 0.7149
N 0.2512 0.0181 0.2850
Zr 0.0000 0.5000 0.5000
Ce 0.0000 0.5000 0.0000
N 0.7669 0.0181 0.2851
N 0.7414 0.4828 0.7242
N 0.7488 0.9819 0.7150
Ce 0.0000 0.0000 0.0000
N 0.2331 0.4662 0.7150
Zr 0.5000 0.5000 0.5000
N 0.7669 0.5338 0.2850
Zr 0.5000 0.0000 0.5000
Ce 0.5000 0.5000 0.0000
N 0.2586 0.5172 0.2758
Pu 0.0000 0.0000 0.5000
CELL_PARAMETERS angstrom
-5.2826 1.9053 3.6119
4.4651 -4.2333 2.5926
1.7943 6.6249 -0.8706
```

Space group: R-3m, No. 166

=====

(2)
Compound: CePu2ZrN4
Source: the Alexandria database
Functional: GGA-PBE
Structure: relaxed Values from VASP.

Structure (Quantum ESPRESSO input):
```
&SYSTEM
  ibrav = 0, nat = 8, ntyp = 4
/
ATOMIC_SPECIES
N 14.01 N.upf
Zr 91.22 Zr.upf
Pu 244.00 Pu.upf
Ce 140.12 Ce.upf
ATOMIC_POSITIONS crystal
N 0.0000 0.7712 0.2479
N 0.0000 0.2288 0.7521
Zr 0.0000 0.0000 0.0000
Pu 0.0000 0.5000 0.5000
Pu 0.5000 0.0000 0.5000
N 0.5000 0.7660 0.7593
Ce 0.5000 0.5000 0.0000
N 0.5000 0.2340 0.2407
CELL_PARAMETERS angstrom
-0.2492 3.0637 1.5487
1.5685 -2.5110 5.2198
4.8530 1.8417 -2.8624
```

Space group: P2/m, No. 10

=====

(3)
Compound: RbCe2N3
Source: the Alexandria database
Functional: GGA-PBE
Structure: relaxed Values from VASP.

Structure (Quantum ESPRESSO input):
```
&SYSTEM
  ibrav = 0, nat = 12, ntyp = 3
/
ATOMIC_SPECIES
N 14.01 N.upf
Ce 140.12 Ce.upf
Rb 85.47 Rb.upf
ATOMIC_POSITIONS crystal
N 0.2500 0.2917 0.3606
Ce 0.2500 0.7702 0.5025
N 0.7500 0.9049 0.3651
N 0.7500 0.7083 0.6394
Rb 0.7500 0.4719 0.1625
N 0.2500 0.0951 0.6349
Rb 0.2500 0.5281 0.8375
Ce 0.7500 0.2298 0.4975
Ce 0.2500 0.9865 0.1637
N 0.2500 0.1542 0.9764
N 0.7500 0.8458 0.0236
Ce 0.7500 0.0135 0.8363
CELL_PARAMETERS angstrom
3.5910 0.0000 0.0000
0.0000 6.5815 -1.3821
0.0000 -0.1087 9.3424
```

Space group: P2_1/m, No. 11

=====

(4)
Compound: Rb2CeRe2N6
Source: the Alexandria database
Functional: GGA-PBE
Structure: relaxed Values from VASP.

Structure (Quantum ESPRESSO input):
```
&SYSTEM
  ibrav = 0, nat = 11, ntyp = 4
/
ATOMIC_SPECIES
Re 186.21 Re.upf
N 14.01 N.upf
Rb 85.47 Rb.upf
Ce 140.12 Ce.upf
ATOMIC_POSITIONS crystal
Re 0.0660 0.1321 0.2124
N 0.2307 0.9864 0.7246
Rb 0.7207 0.4415 0.1736
Ce 0.5000 0.0000 0.5000
N 0.2492 0.4983 0.2942
Re 0.9340 0.8679 0.7876
N 0.2443 0.0136 0.2754
N 0.7508 0.5017 0.7058
N 0.7693 0.0136 0.2754
N 0.7557 0.9864 0.7246
Rb 0.2793 0.5585 0.8264
CELL_PARAMETERS angstrom
-6.0983 -1.1175 1.3037
4.2774 -4.6579 0.6219
0.1485 5.2495 5.1942
```

Space group: C2/m, No. 12

=====

Number 1: raw formation energy -136.4 kJ/mol of atoms. Number 2: raw formation energy -137.2 kJ/mol of atoms. Number 3: raw formation energy -94.9 kJ/mol of atoms. Number 4: raw formation energy -43.1 kJ/mol of atoms.